Entry 1:
The following is a DFT calculation (PBE) of a relaxed HfMgBe17 crystal.

Properties
Final energy (eV/cell): -230.55

Geometry as CIF:
```
data_HfMgBe17
_cell_length_a 7.4844
_cell_length_b 7.4844
_cell_length_c 10.9238
_cell_angle_alpha 90.00
_cell_angle_beta 90.00
_cell_angle_gamma 120.00
_space_group_name_H-M_alt 'R 3 m'
_space_group_IT_number 160
_space_group_name_Hall 'R 3 -2"'
loop_
_atom_site_label
_atom_site_type_symbol
_atom_site_fract_x
_atom_site_fract_y
_atom_site_fract_z
Hf1 Hf 0.0000 0.0000 0.0000
Mg1 Mg 0.0000 0.0000 0.6835
Be1 Be 0.0000 0.0000 0.2409
Be2 Be 0.0000 0.0000 0.4370
Be3 Be 0.0001 0.5001 0.4974
Be4 Be 0.0013 0.2908 0.3390
Be5 Be 0.0009 0.5004 0.1817
Be6 Be 0.0075 0.5037 0.8346
```

Entry 2:
The following is a DFT calculation (PBE) of a relaxed DySi2Ir crystal.

Properties
Energy relative to the elements, uncorrected (eV/f.u.): -3.80
Final energy (eV/cell): -224.91

Geometry as CIF:
```
data_DySi2Ir
_cell_length_a 4.1743
_cell_length_b 8.6358
_cell_length_c 15.8254
_cell_angle_alpha 90.00
_cell_angle_beta 90.00
_cell_angle_gamma 90.00
_space_group_name_H-M_alt 'I m m m'
_space_group_IT_number 71
_space_group_name_Hall '-I 2 2'
loop_
_atom_site_label
_atom_site_type_symbol
_atom_site_fract_x
_atom_site_fract_y
_atom_site_fract_z
Dy1 Dy 0.0000 0.0000 0.2050
Dy2 Dy 0.0000 0.2447 0.0000
Si1 Si 0.0000 0.0000 0.4231
Si2 Si 0.0000 0.3473 0.2015
Si3 Si 0.0000 0.5000 0.4253
Ir1 Ir 0.0000 0.2482 0.3546
```

Entry 3:
The following is a DFT calculation (PBE) of a relaxed Cu2SbAu crystal.

Properties
Energy relative to the elements, uncorrected (eV/f.u.): 0.83
Final energy (eV/cell): -59.06

Geometry as CIF:
```
data_Cu2SbAu
_cell_length_a 6.5147
_cell_length_b 6.5147
_cell_length_c 6.5147
_cell_angle_alpha 90.00
_cell_angle_beta 90.00
_cell_angle_gamma 90.00
_space_group_name_H-M_alt 'F -4 3 m'
_space_group_IT_number 216
_space_group_name_Hall 'F -4 2 3'
loop_
_atom_site_label
_atom_site_type_symbol
_atom_site_fract_x
_atom_site_fract_y
_atom_site_fract_z
Cu1 Cu 0.0000 0.0000 0.0000
Cu2 Cu 0.2500 0.2500 0.2500
Sb1 Sb 0.0000 0.0000 0.5000
Au1 Au 0.2500 0.2500 0.7500
```

Entry 4:
The following is a DFT calculation (PBE) of a relaxed YTl3Ru crystal.

Properties
Final energy (eV/cell): -15.74

Geometry as CIF:
```
data_YTl3Ru
_cell_length_a 5.7936
_cell_length_b 5.7936
_cell_length_c 5.7936
_cell_angle_alpha 90.00
_cell_angle_beta 90.00
_cell_angle_gamma 90.00
_space_group_name_H-M_alt 'P m -3 m'
_space_group_IT_number 221
_space_group_name_Hall '-P 4 2 3'
loop_
_atom_site_label
_atom_site_type_symbol
_atom_site_fract_x
_atom_site_fract_y
_atom_site_fract_z
Y1 Y 0.0000 0.0000 0.0000
Tl1 Tl 0.0000 0.0000 0.5000
Ru1 Ru 0.5000 0.5000 0.5000
```

Entry 5:
The following is a DFT calculation (PBE) of a relaxed KAl2Co crystal.

Properties
Energy above the lowest structure with this stoichiometry (meV per atom): 66
Final energy (eV/cell): -15.32

Geometry as CIF:
```
data_KAl2Co
_cell_length_a 2.8014
_cell_length_b 3.9822
_cell_length_c 7.9147
_cell_angle_alpha 90.00
_cell_angle_beta 90.00
_cell_angle_gamma 90.00
_space_group_name_H-M_alt 'P m m 2'
_space_group_IT_number 25
_space_group_name_Hall 'P 2 -2'
loop_
_atom_site_label
_atom_site_type_symbol
_atom_site_fract_x
_atom_site_fract_y
_atom_site_fract_z
K1 K 0.0000 0.0000 0.0000
Al1 Al 0.5000 0.0000 0.4010
Al2 Al 0.5000 0.5000 0.6567
Co1 Co 0.0000 0.5000 0.4067
```

Entry 6:
The following is a DFT calculation (PBE) of a relaxed H2IrRuO crystal.

Properties
Energy above the lowest structure with this stoichiometry (meV per atom): 0
Final energy (eV/cell): -27.51

Geometry as CIF:
```
data_H2IrRuO
_cell_length_a 3.1819
_cell_length_b 3.1819
_cell_length_c 5.2343
_cell_angle_alpha 90.00
_cell_angle_beta 90.00
_cell_angle_gamma 90.00
_space_group_name_H-M_alt 'P 4/m m m'
_space_group_IT_number 123
_space_group_name_Hall '-P 4 2'
loop_
_atom_site_label
_atom_site_type_symbol
_atom_site_fract_x
_atom_site_fract_y
_atom_site_fract_z
H1 H 0.0000 0.5000 0.0000
Ir1 Ir 0.0000 0.0000 0.0000
Ru1 Ru 0.0000 0.0000 0.5000
O1 O 0.5000 0.5000 0.5000
```

Number 1: D(E_F) 0.254 states/eV per atom. Number 2: D(E_F) 0.291 states/eV per atom. Number 3: D(E_F) 0.520 states/eV per atom. Number 4: D(E_F) 1.457 states/eV per atom. Number 5: D(E_F) 0.527 states/eV per atom. Number 6: D(E_F) 0.678 states/eV per atom.